1.
The following is a DFT calculation (PBE-GGA) of a relaxed HfCr3Ir crystal.

a b c (Å): 4.5746 4.5746 4.5746
angles (deg): 90.00 90.00 90.00
Last column: nearest neighbours and their distance in Å.
Atoms (fractional coordinates):
Cr 0.0000 0.5000 0.0000  2 Ir 2.29
Cr 0.0000 0.0000 0.5000  2 Ir 2.29
Cr 0.5000 0.0000 0.0000  2 Ir 2.29
Ir 0.0000 0.0000 0.0000  6 Cr 2.29
Hf 0.5000 0.5000 0.5000  12 Cr 3.23

Output
D(E_F) (states/eV/cell): 7.62
Magnetization (μB per atom): 1.1043
Calculated total energy (hartree per atom): -0.309
Energy relative to the elements (meV per atom): 1118
SG: Pm-3m (221)
Mass density (kg/m³): 9136



2.
The following is a DFT calculation (PBE-GGA) of a relaxed Ti2Cu2Sb crystal.

a b c (Å): 6.5360 6.5360 3.8057
angles (deg): 90.00 90.00 90.00
Last column: nearest neighbours and their distance in Å.
Atoms (fractional coordinates):
Sb 0.0000 0.0000 0.0000  4 Cu 2.58
Sb 0.5000 0.5000 0.0000  4 Cu 2.58
Cu 0.3731 0.8731 0.0000  1 Cu 2.35, 2 Sb 2.58
Cu 0.8731 0.6269 0.0000  1 Cu 2.35, 2 Sb 2.58
Cu 0.6269 0.1269 0.0000  1 Cu 2.35, 2 Sb 2.58
Cu 0.1269 0.3731 0.0000  1 Cu 2.35, 2 Sb 2.58
Ti 0.1635 0.6635 0.5000  6 Cu 2.70-2.72
Ti 0.6635 0.8365 0.5000  6 Cu 2.70-2.72
Ti 0.8365 0.3365 0.5000  6 Cu 2.70-2.72
Ti 0.3365 0.1635 0.5000  6 Cu 2.70-2.72

Output
D(E_F) (states/eV/cell): 12.62
Magnetization (μB per atom): 0.0000
Calculated total energy (hartree per atom): -0.212
Formation energy from raw total energies (eV per atom): -0.136
SG: P4/mbm (127)
Mass density (kg/m³): 7039



3.
The following is a DFT calculation (PBE-GGA) of a relaxed Tm2ZrScN4 crystal.

a b c (Å): 3.3064 5.7202 5.7410
angles (deg): 109.31 90.00 90.00
Last column: nearest neighbours and their distance in Å.
Atoms (fractional coordinates):
Tm 0.5000 0.0000 0.5000  6 N 2.37
Tm 0.0000 0.5000 0.5000  6 N 2.38
Zr 0.0000 0.0000 0.0000  6 N 2.29-2.30
Sc 0.5000 0.5000 0.0000  6 N 2.31
N 0.5000 0.2454 0.2385  2 Zr 2.30, 1 Sc 2.31, 3 Tm 2.37-2.38
N 0.5000 0.7546 0.7615  2 Zr 2.30, 1 Sc 2.31, 3 Tm 2.37-2.38
N 0.0000 0.2520 0.7615  1 Zr 2.29, 2 Sc 2.31, 3 Tm 2.37-2.38
N 0.0000 0.7480 0.2385  1 Zr 2.29, 2 Sc 2.31, 3 Tm 2.37-2.38

Output
D(E_F) (states/eV/cell): 1.15
Magnetization (μB per atom): 0.0000
Calculated total energy (hartree per atom): -0.330
Formation energy from raw total energies (eV per atom): -1.843
SG: P2/m (10)
Mass density (kg/m³): 8590



4.
The following is a DFT calculation (PBE-GGA) of a relaxed Cr2CuSiCl crystal.

a b c (Å): 4.7967 4.7688 4.7967
angles (deg): 90.00 90.00 90.00
Last column: nearest neighbours and their distance in Å.
Atoms (fractional coordinates):
Cr 0.0000 0.0000 0.5000  2 Si 2.40
Cr 0.5000 0.0000 0.0000  2 Si 2.40
Si 0.0000 0.0000 0.0000  2 Cl 2.38, 4 Cr 2.40
Cu 0.5000 0.5000 0.5000  8 Cr 3.38, 4 Cl 3.39
Cl 0.0000 0.5000 0.0000  2 Si 2.38

Output
D(E_F) (states/eV/cell): 0.73
Magnetization (μB per atom): 1.6096
Calculated total energy (hartree per atom): -0.191
Formation energy from raw total energies (eV per atom): 0.934
SG: P4/mmm (123)
Mass density (kg/m³): 3497



5.
The following is a DFT calculation (PBE-GGA) of a relaxed CdRuCl2 crystal.

a b c (Å): 3.3223 3.3223 8.7893
angles (deg): 90.00 90.00 114.30
Last column: nearest neighbours and their distance in Å.
Atoms (fractional coordinates):
Ru 0.0000 0.0000 0.4923  2 Cl 2.33
Cl 0.0000 0.0000 0.9442  2 Cd 2.55
Cl 0.5000 0.5000 0.3243  2 Ru 2.33
Cd 0.5000 0.5000 0.7392  2 Cl 2.55, 2 Ru 2.82

Output
D(E_F) (states/eV/cell): 2.09
Magnetization (μB per atom): 0.3937
Calculated total energy (hartree per atom): -0.128
Formation energy from raw total energies (eV per atom): -0.005
SG: Cmm2 (35)
Mass density (kg/m³): 5341



6.
The following is a DFT calculation (PBE-GGA) of a relaxed ZnBrCl crystal.

a b c (Å): 6.2923 3.8789 7.8727
angles (deg): 76.73 89.99 90.02
Last column: nearest neighbours and their distance in Å.
Atoms (fractional coordinates):
Zn 0.1650 0.0733 0.8480  2 Cl 2.30-2.32, 2 Br 2.44
Zn 0.6652 0.9323 0.1479  2 Cl 2.30-2.32, 2 Br 2.44
Cl 0.5330 0.0623 0.8686  2 Zn 2.30-2.32
Cl 0.0332 0.9437 0.1275  2 Zn 2.30-2.32
Br 0.0564 0.6531 0.6763  2 Zn 2.44
Br 0.5567 0.3522 0.3199  2 Zn 2.44

Output
D(E_F) (states/eV/cell): 0.00
Magnetization (μB per atom): 0.0000
Calculated total energy (hartree per atom): -0.096
Formation energy from raw total energies (eV per atom): -1.013
SG: P2_1 (4)
Mass density (kg/m³): 3210